# 1
Entry from Alexandria via LeMat-Bulk: a relaxed HoTmTeC crystal (PBE).

## Properties
total DFT energy (no corrections): -6.195 eV per atom
Fermi-level density of states: 1.01 states/eV/f.u.
energy relative to the elements, uncorrected: -3.37 eV/f.u.

Lattice parameters (Å, degrees): 3.7706 3.7706 21.1190 90.00 90.00 120.00
Last column: nearest neighbours and their distance in Å.
Space group R3m (No. 160, hexagonal axes)
Symmetry-distinct sites (fractional):
Ho (0.0000, 0.0000, 0.0000) [3 per cell]  3 C 2.55
Tm (0.0000, 0.0000, 0.7895) [3 per cell]  3 C 2.51
Te (0.0000, 0.0000, 0.2270) [3 per cell]  3 Tm 3.10, 3 Ho 3.13
C (0.0000, 0.0000, 0.3966) [3 per cell]  3 Tm 2.51, 3 Ho 2.55

***

# 2
Entry from Alexandria via LeMat-Bulk: a relaxed HoThC crystal (PBE).

## Properties
total DFT energy (no corrections): -7.311 eV per atom
Fermi-level density of states: 3.13 states/eV/f.u.
DFT formation energy: -0.238 eV per atom

Lattice parameters (Å, degrees): 3.5896 3.5896 6.4013 90.00 90.00 120.00
Last column: nearest neighbours and their distance in Å.
Space group P3m1 (No. 156)
Symmetry-distinct sites (fractional):
Ho (0.0000, 0.0000, 0.0000) [1 per cell]  3 C 2.46
Th (0.3333, 0.6667, 0.4354) [1 per cell]  3 C 2.54
C (0.6667, 0.3333, 0.2070) [1 per cell]  3 Ho 2.46, 3 Th 2.54

***

# 3
Entry from Alexandria via LeMat-Bulk: a relaxed Ho3Th2C3 crystal (PBE).

## Properties
total DFT energy (no corrections): -7.171 eV per atom
Fermi-level density of states: 6.12 states/eV/f.u.
DFT formation energy: -0.140 eV per atom

Lattice parameters (Å, degrees): 11.6179 5.1533 11.8227 90.00 90.88 90.00
Last column: nearest neighbours and their distance in Å.
Space group Cm (No. 8)
Symmetry-distinct sites (fractional):
Ho (0.0000, 0.0000, 0.0000) [2 per cell]  3 C 2.41-2.61
Ho (0.0084, 0.0000, 0.7400) [2 per cell]  3 C 2.44-2.60
Ho (0.1152, 0.5000, 0.5505) [2 per cell]  4 C 2.52-2.58
Ho (0.1855, 0.5000, 0.8722) [2 per cell]  4 C 2.56-2.58
Ho (0.2089, 0.0000, 0.3745) [2 per cell]  4 C 2.45-2.61
Ho (0.3950, 0.5000, 0.2401) [2 per cell]  3 C 2.39-2.57
Th (0.1074, 0.5000, 0.1937) [2 per cell]  4 C 2.53-2.59
Th (0.2874, 0.0000, 0.0530) [2 per cell]  4 C 2.50-2.59
Th (0.2901, 0.0000, 0.6959) [2 per cell]  4 C 2.54-2.59
Th (0.3978, 0.5000, 0.5015) [2 per cell]  3 C 2.46-2.59
C (0.1056, 0.0000, 0.1766) [2 per cell]  3 Ho 2.41-2.61, 3 Th 2.58-2.59
C (0.1141, 0.0000, 0.5587) [2 per cell]  4 Ho 2.45-2.58, 2 Th 2.59
C (0.1701, 0.0000, 0.8736) [2 per cell]  4 Ho 2.44-2.58, 2 Th 2.50-2.54
C (0.2303, 0.5000, 0.3718) [2 per cell]  2 Th 2.46-2.53, 4 Ho 2.49-2.59
C (0.2866, 0.5000, 0.0662) [2 per cell]  3 Ho 2.39-2.61, 3 Th 2.58-2.59
C (0.2915, 0.5000, 0.6818) [2 per cell]  3 Th 2.48-2.58, 3 Ho 2.55-2.60

***

# 4
Entry from Alexandria via LeMat-Bulk: a relaxed HoTh6C5 crystal (PBE).

## Properties
total DFT energy (no corrections): -7.882 eV per atom
Fermi-level density of states: 7.36 states/eV/f.u.
DFT formation energy: 0.053 eV per atom

Lattice parameters (Å, degrees): 6.8241 6.8241 12.9736 90.00 90.00 120.00
Last column: nearest neighbours and their distance in Å.
Space group P6_3/mcm (No. 193)
Symmetry-distinct sites (fractional):
Ho (0.0000, 0.0000, 0.2500) [2 per cell]  3 C 2.36
Th (0.0000, 0.3895, 0.1175) [12 per cell]  3 C 2.49-2.60
C (0.0000, 0.3464, 0.7500) [6 per cell]  1 Ho 2.36, 2 Th 2.49
C (0.3333, 0.6667, 0.0000) [4 per cell]  6 Th 2.60